Record 1
The following is a DFT calculation (PBE-GGA) of a geometry-optimized PrNdZnGe structure.

abc: 4.209 4.374 11.321
angles: 90.00 90.00 90.00
Space group Amm2 (No. 38)
Asymmetric unit:
Pr  0.000  0.000  0.000 (multiplicity 2)
Nd  0.500  0.000  0.284 (multiplicity 2)
Zn  0.500  0.000  0.575 (multiplicity 2)
Ge  0.000  0.000  0.717 (multiplicity 2)

## Properties
The energy of formation from the pure elements comes out at -0.58 eV/atom.

Record 2
The following is a DFT calculation (PBE-GGA) of a geometry-optimized RbCo2ReTe structure.

abc: 4.815 4.815 5.181
angles: 90.00 90.00 90.00
Space group P4/mmm (No. 123)
Asymmetric unit:
Rb  0.000  0.000  0.000 (multiplicity 1)
Co  0.000  0.500  0.500 (multiplicity 2)
Re  0.500  0.500  0.500 (multiplicity 1)
Te  0.500  0.500  0.000 (multiplicity 1)

## Properties
For the formation energy from raw total energies, the calculation gives 0.945 eV/atom.

Record 3
The following is a DFT calculation (PBE-GGA) of a geometry-optimized LiErMg structure.

abc: 3.601 15.585 5.333
angles: 90.00 90.00 90.00
Space group Cmcm (No. 63)
Asymmetric unit:
Li  0.000  0.248  0.250 (multiplicity 4)
Er  0.000  0.429  0.750 (multiplicity 4)
Mg  0.000  0.106  0.750 (multiplicity 4)

## Properties
The energy of formation from the pure elements comes out at 0.02 eV/atom.

Record 4
The following is a DFT calculation (PBE-GGA) of a geometry-optimized PmPCl structure.

abc: 4.7394 4.7394 3.5413
angles: 90.00 90.00 120.00
Space group P-6m2 (No. 187)
Asymmetric unit:
Pm  0.0000  0.0000  0.0000 (multiplicity 1)
P  0.6667  0.3333  0.5000 (multiplicity 1)
Cl  0.3333  0.6667  0.0000 (multiplicity 1)

## Properties
For the formation energy from raw total energies, the calculation gives -0.977 eV/atom.

Values for mass density, Mg/m³, ordered as above
6.74, 7.15, 4.41, 5.10
Values for D(E_F), states/eV/atom, ordered as above
1.04, 1.50, 0.72, 0.90
Values for volume, Å³ per atom, ordered as above
26.056, 24.023, 24.938, 22.963